Entry 1:
Computed, not measured: crystalline Zr3Ru at its relaxed geometry at the PBE-GGA level of DFT.

Cell: 3.242 4.387 5.677 Å, 90.00 90.00 90.00°
Element x y z (fractional)
Zr: 0.000 0.000 0.000
Zr: 0.500 0.500 0.266
Zr: 0.500 0.500 0.734
Ru: 0.000 0.000 0.500

Entry 2:
Computed, not measured: crystalline ZrRu at its relaxed geometry at the PBE-GGA level of DFT.

Cell: 4.225 4.225 10.508 Å, 90.00 90.00 120.00°
Element x y z (fractional)
Zr: 0.333 0.667 0.097
Zr: 0.333 0.667 0.403
Zr: 0.667 0.333 0.597
Zr: 0.667 0.333 0.903
Ru: 0.000 0.000 0.250
Ru: 0.000 0.000 0.750
Ru: 0.333 0.667 0.750
Ru: 0.667 0.333 0.250

Entry 3:
Computed, not measured: crystalline Zr3Ru4 at its relaxed geometry at the PBE-GGA level of DFT.

Summary:
**Energy above the lowest structure with this stoichiometry**: 0.466 eV/atom

Cell: 5.673 5.673 4.643 Å, 90.00 90.00 120.00°
Element x y z (fractional)
Zr: 0.000 0.500 0.000
Zr: 0.500 0.000 0.000
Zr: 0.500 0.500 0.000
Ru: 0.000 0.000 0.252
Ru: 0.000 0.000 0.748
Ru: 0.333 0.667 0.500
Ru: 0.667 0.333 0.500

Entry 4:
Computed, not measured: crystalline Zr3Ru2 at its relaxed geometry at the PBE-GGA level of DFT.

Summary:
**Energy above the lowest structure with this stoichiometry**: 0.114 eV/atom

Cell: 4.548 4.548 5.669 Å, 90.00 90.00 120.00°
Element x y z (fractional)
Zr: 0.000 0.000 0.000
Zr: 0.333 0.667 0.341
Zr: 0.667 0.333 0.659
Ru: 0.333 0.667 0.834
Ru: 0.667 0.333 0.166

Entry 5:
Computed, not measured: crystalline Zr2Ru3 at its relaxed geometry at the PBE-GGA level of DFT.

Summary:
**Energy above the lowest structure with this stoichiometry**: 0.339 eV/atom

Cell: 10.458 10.458 10.458 Å, 17.25 17.25 17.25°
Element x y z (fractional)
Zr: 0.099 0.099 0.099
Zr: 0.901 0.901 0.901
Ru: 0.300 0.300 0.300
Ru: 0.500 0.500 0.500
Ru: 0.700 0.700 0.700

Entry 6:
Computed, not measured: crystalline ZrRu3 at its relaxed geometry at the PBE-GGA level of DFT.

Cell: 5.309 5.309 5.309 Å, 148.57 63.69 126.16°
Element x y z (fractional)
Zr: 0.000 0.000 0.000
Ru: 0.419 0.660 0.759
Ru: 0.492 0.992 0.500
Ru: 0.902 0.660 0.241

Entry 7:
Computed, not measured: crystalline Zr3Ru5 at its relaxed geometry at the PBE-GGA level of DFT.

Cell: 7.802 7.802 5.245 Å, 90.00 90.00 120.00°
Element x y z (fractional)
Zr: 0.000 0.386 0.250
Zr: 0.000 0.614 0.750
Zr: 0.386 0.000 0.250
Zr: 0.386 0.386 0.750
Zr: 0.614 0.000 0.750
Zr: 0.614 0.614 0.250
Ru: 0.000 0.214 0.750
Ru: 0.000 0.786 0.250
Ru: 0.214 0.000 0.750
Ru: 0.214 0.214 0.250
Ru: 0.333 0.667 0.000
Ru: 0.333 0.667 0.500
Ru: 0.667 0.333 0.000
Ru: 0.667 0.333 0.500
Ru: 0.786 0.000 0.250
Ru: 0.786 0.786 0.750

Entry 8:
Computed, not measured: crystalline Zr3Ru2 at its relaxed geometry at the PBE-GGA level of DFT.

Summary:
**Energy above the lowest structure with this stoichiometry**: 0.231 eV/atom

Cell: 8.414 7.522 5.540 Å, 78.60 61.20 40.20°
Element x y z (fractional)
Zr: 0.011 0.011 0.239
Zr: 0.239 0.239 0.011
Zr: 0.375 0.375 0.375
Zr: 0.625 0.625 0.625
Zr: 0.761 0.761 0.989
Zr: 0.989 0.989 0.761
Ru: 0.179 0.179 0.571
Ru: 0.429 0.429 0.821
Ru: 0.571 0.571 0.179
Ru: 0.821 0.821 0.429

Entry 9:
Computed, not measured: crystalline ZrRu3 at its relaxed geometry at the PBE-GGA level of DFT.

Cell: 4.890 4.890 4.890 Å, 132.26 132.26 69.82°
Element x y z (fractional)
Zr: 0.000 0.000 0.000
Ru: 0.250 0.750 0.500
Ru: 0.500 0.500 0.000
Ru: 0.750 0.250 0.500

Entry 10:
Computed, not measured: crystalline Zr4Ru5 at its relaxed geometry at the PBE-GGA level of DFT.

Summary:
**Energy above the lowest structure with this stoichiometry**: 0.000 eV/atom

Cell: 6.635 6.635 6.635 Å, 95.32 95.32 144.53°
Element x y z (fractional)
Zr: 0.000 0.290 0.290
Zr: 0.000 0.710 0.710
Zr: 0.290 0.000 0.290
Zr: 0.710 0.000 0.710
Ru: 0.000 0.000 0.000
Ru: 0.338 0.338 0.676
Ru: 0.338 0.662 0.000
Ru: 0.662 0.338 0.000
Ru: 0.662 0.662 0.324

Entry 11:
Computed, not measured: crystalline Zr4Ru3 at its relaxed geometry at the PBE-GGA level of DFT.

Cell: 5.321 5.321 5.326 Å, 90.00 90.00 120.00°
Element x y z (fractional)
Zr: 0.000 0.000 0.246
Zr: 0.000 0.000 0.754
Zr: 0.333 0.667 0.500
Zr: 0.667 0.333 0.500
Ru: 0.000 0.500 0.000
Ru: 0.500 0.000 0.000
Ru: 0.500 0.500 0.000

Entry 12:
Computed, not measured: crystalline ZrRu at its relaxed geometry at the PBE-GGA level of DFT.

Cell: 4.158 4.158 4.158 Å, 60.00 60.00 60.00°
Element x y z (fractional)
Zr: 0.000 0.000 0.000
Ru: 0.750 0.750 0.750

Entry 13:
Computed, not measured: crystalline Zr5Ru4 at its relaxed geometry at the PBE-GGA level of DFT.

Summary:
**Energy above the lowest structure with this stoichiometry**: 0.000 eV/atom

Cell: 8.153 8.153 5.822 Å, 90.00 90.00 120.00°
Element x y z (fractional)
Zr: 0.000 0.277 0.250
Zr: 0.000 0.723 0.750
Zr: 0.277 0.000 0.250
Zr: 0.277 0.277 0.750
Zr: 0.333 0.667 0.000
Zr: 0.333 0.667 0.500
Zr: 0.667 0.333 0.000
Zr: 0.667 0.333 0.500
Zr: 0.723 0.000 0.750
Zr: 0.723 0.723 0.250
Ru: 0.000 0.000 0.000
Ru: 0.000 0.000 0.500
Ru: 0.000 0.385 0.750
Ru: 0.000 0.615 0.250
Ru: 0.385 0.000 0.750
Ru: 0.385 0.385 0.250
Ru: 0.615 0.000 0.250
Ru: 0.615 0.615 0.750

Entry 14:
Computed, not measured: crystalline Zr2Ru3 at its relaxed geometry at the PBE-GGA level of DFT.

Summary:
**Energy above the lowest structure with this stoichiometry**: 0.000 eV/atom

Cell: 7.266 5.454 8.170 Å, 60.63 40.86 78.51°
Element x y z (fractional)
Zr: 0.125 0.875 0.279
Zr: 0.529 0.971 0.375
Zr: 0.875 0.125 0.721
Zr: 0.971 0.529 0.125
Ru: 0.155 0.155 0.845
Ru: 0.405 0.405 0.095
Ru: 0.445 0.553 0.321
Ru: 0.553 0.445 0.680
Ru: 0.570 0.929 0.697
Ru: 0.929 0.570 0.805

Entry 15:
Computed, not measured: crystalline ZrRu at its relaxed geometry at the PBE-GGA level of DFT.

Cell: 3.035 3.035 9.318 Å, 90.00 90.00 120.00°
Element x y z (fractional)
Zr: 0.333 0.667 0.000
Zr: 0.667 0.333 0.500
Ru: 0.333 0.667 0.730
Ru: 0.667 0.333 0.230

Entry 16:
Computed, not measured: crystalline ZrRu4 at its relaxed geometry at the PBE-GGA level of DFT.

Summary:
**Energy above the lowest structure with this stoichiometry**: 1.328 eV/atom

Cell: 5.005 5.005 5.005 Å, 109.47 109.47 109.47°
Element x y z (fractional)
Zr: 0.000 0.000 0.000
Ru: 0.000 0.000 0.500
Ru: 0.000 0.500 0.000
Ru: 0.500 0.000 0.000
Ru: 0.500 0.500 0.500

Entry 17:
Computed, not measured: crystalline ZrRu at its relaxed geometry at the PBE-GGA level of DFT.

Cell: 7.439 7.439 4.882 Å, 90.00 90.00 120.00°
Element x y z (fractional)
Zr: 0.120 0.323 0.250
Zr: 0.202 0.880 0.250
Zr: 0.323 0.202 0.750
Zr: 0.677 0.798 0.250
Zr: 0.798 0.120 0.750
Zr: 0.880 0.677 0.750
Ru: 0.109 0.494 0.750
Ru: 0.385 0.891 0.750
Ru: 0.494 0.385 0.250
Ru: 0.506 0.615 0.750
Ru: 0.615 0.109 0.250
Ru: 0.891 0.506 0.250

Entry 18:
Computed, not measured: crystalline Zr3Ru at its relaxed geometry at the PBE-GGA level of DFT.

Cell: 4.865 4.865 3.344 Å, 90.00 90.00 90.00°
Element x y z (fractional)
Zr: 0.000 0.000 0.000
Zr: 0.000 0.500 0.500
Zr: 0.500 0.000 0.500
Ru: 0.500 0.500 0.000

Entry 19:
Computed, not measured: crystalline ZrRu at its relaxed geometry at the PBE-GGA level of DFT.

Cell: 3.275 3.275 3.275 Å, 90.00 90.00 90.00°
Element x y z (fractional)
Zr: 0.000 0.000 0.000
Ru: 0.500 0.500 0.500

Entry 20:
Computed, not measured: crystalline ZrRu3 at its relaxed geometry at the PBE-GGA level of DFT.

Cell: 9.484 9.484 9.484 Å, 16.89 16.89 16.89°
Element x y z (fractional)
Zr: 0.000 0.000 0.000
Ru: 0.243 0.243 0.243
Ru: 0.500 0.500 0.500
Ru: 0.757 0.757 0.757

Entry 21:
Computed, not measured: crystalline ZrRu at its relaxed geometry at the PBE-GGA level of DFT.

Cell: 5.571 5.571 5.571 Å, 139.66 139.66 58.37°
Element x y z (fractional)
Zr: 0.375 0.625 0.750
Zr: 0.625 0.375 0.250
Ru: 0.125 0.875 0.250
Ru: 0.875 0.125 0.750

Entry 22:
Computed, not measured: crystalline Zr3Ru4 at its relaxed geometry at the PBE-GGA level of DFT.

Summary:
**Energy above the lowest structure with this stoichiometry**: 0.000 eV/atom

Cell: 11.572 11.572 11.572 Å, 163.76 163.76 23.05°
Element x y z (fractional)
Zr: 0.000 0.000 0.000
Zr: 0.294 0.294 0.000
Zr: 0.706 0.706 0.000
Ru: 0.142 0.142 0.000
Ru: 0.433 0.433 0.000
Ru: 0.567 0.567 0.000
Ru: 0.858 0.858 0.000

Entry 23:
Computed, not measured: crystalline Zr5Ru4 at its relaxed geometry at the PBE-GGA level of DFT.

Summary:
**Energy above the lowest structure with this stoichiometry**: 0.211 eV/atom

Cell: 6.358 6.358 6.358 Å, 98.16 98.16 135.72°
Element x y z (fractional)
Zr: 0.000 0.000 0.000
Zr: 0.320 0.320 0.640
Zr: 0.320 0.680 0.000
Zr: 0.680 0.320 0.000
Zr: 0.680 0.680 0.360
Ru: 0.000 0.347 0.347
Ru: 0.000 0.653 0.653
Ru: 0.347 0.000 0.347
Ru: 0.653 0.000 0.653

Entry 24:
Computed, not measured: crystalline Zr3Ru2 at its relaxed geometry at the PBE-GGA level of DFT.

Summary:
**Energy above the lowest structure with this stoichiometry**: 0.000 eV/atom

Cell: 3.276 3.276 17.369 Å, 90.00 90.00 90.00°
Element x y z (fractional)
Zr: 0.000 0.000 0.000
Zr: 0.000 0.000 0.189
Zr: 0.000 0.000 0.378
Zr: 0.000 0.000 0.622
Zr: 0.000 0.000 0.811
Zr: 0.500 0.500 0.500
Ru: 0.500 0.500 0.095
Ru: 0.500 0.500 0.283
Ru: 0.500 0.500 0.717
Ru: 0.500 0.500 0.905

Entry 25:
Computed, not measured: crystalline Zr3Ru at its relaxed geometry at the PBE-GGA level of DFT.

Cell: 3.340 3.340 8.885 Å, 90.00 90.00 120.00°
Element x y z (fractional)
Zr: 0.000 0.000 0.000
Zr: 0.333 0.667 0.288
Zr: 0.333 0.667 0.712
Ru: 0.000 0.000 0.500

Entry 26:
Computed, not measured: crystalline S at its relaxed geometry at the PBE-GGA level of DFT.

Summary:
**ΔE_f (raw)**: 0.20 eV per atom
**Energy above the lowest structure with this stoichiometry**: 0.197 eV/atom

Cell: 3.194 3.194 5.834 Å, 106.73 106.73 60.02°
Element x y z (fractional)
S: 0.060 0.060 0.171
S: 0.940 0.940 0.829

no.,raw total energy (eV/atom)
1,-8.785
2,-8.822
3,-8.561
4,-9.239
5,-8.893
6,-9.211
7,-9.060
8,-9.121
9,-9.179
10,-9.233
11,-9.109
12,-8.000
13,-9.218
14,-9.232
15,-8.664
16,-7.695
17,-8.980
18,-8.889
19,-9.555
20,-8.883
21,-9.218
22,-9.027
23,-9.007
24,-9.353
25,-8.787
26,-3.931